1.
The following is a DFT calculation (PBEsol) of Ce3Dy after structural relaxation.

Geometry as extended XYZ:
```
4
Lattice="-1.472 3.873 2.162 1.638 -1.643 4.057 4.076 0.938 -3.957" Properties=species:S:1:pos:R:3 pbc="T T T"
Ce 2.898 0.206 1.605
Ce 0.083 1.115 3.110
Ce 1.343 2.963 0.657
Dy 0.000 0.000 0.000
```

formation enthalpy at 0 K: 0.49 eV per formula unit

---

2.
The following is a DFT calculation (PBEsol) of CeDyMg2 after structural relaxation.

Geometry as extended XYZ:
```
4
Lattice="5.306 0.000 0.000 2.653 4.595 0.000 2.653 1.532 4.332" Properties=species:S:1:pos:R:3 pbc="T T T"
Mg 2.653 1.532 1.083
Mg 7.959 4.595 3.249
Ce 5.306 3.063 2.166
Dy 0.000 0.000 0.000
```

formation enthalpy at 0 K: 0.19 eV per formula unit

---

3.
The following is a DFT calculation (PBEsol) of Ce3Dy2O9 after structural relaxation.

Geometry as extended XYZ:
```
14
Lattice="-2.115 -2.588 1.824 2.637 -0.227 2.737 -6.419 11.190 4.463" Properties=species:S:1:pos:R:3 pbc="T T T"
O -3.484 4.542 6.381
O 0.261 -1.408 2.280
O -4.882 7.755 5.346
O -4.770 6.584 7.789
O -2.413 3.834 2.643
O -1.015 0.620 3.678
O -2.236 2.560 5.015
O -1.127 1.791 1.234
O -3.661 5.815 4.009
Dy -4.163 8.594 7.371
Dy 0.642 0.962 2.110
Ce -5.382 5.575 5.647
Ce -2.892 1.619 2.920
Ce -1.760 4.778 4.740
```

uncorrected formation energy: -3.47 eV/atom

---

4.
The following is a DFT calculation (PBEsol) of Ce9DyO20 after structural relaxation.

Geometry as extended XYZ:
```
30
Lattice="6.603 -0.009 0.006 -2.191 7.302 -0.006 -1.111 -2.316 8.126" Properties=species:S:1:pos:R:3 pbc="T T T"
O 0.017 3.986 2.025
O 1.102 -1.650 7.715
O 4.400 1.320 3.671
O 2.186 -1.325 5.280
O 3.309 4.979 3.663
O 2.199 6.628 0.411
O 1.109 0.336 2.042
O 0.002 1.995 7.722
O -1.112 -0.313 6.899
O -2.194 3.313 6.893
O 2.192 4.642 6.084
O 4.413 5.290 1.228
O 1.114 6.302 2.846
O 3.299 2.982 0.404
O 3.284 0.991 6.101
O 5.495 1.665 1.233
O -1.099 3.657 4.455
O 1.092 2.317 5.280
O 2.209 2.660 2.846
O -0.008 -0.002 4.463
Ce -1.095 3.651 -0.003
Ce 2.222 4.655 1.619
Ce 1.079 0.323 6.507
Ce 3.300 2.990 4.891
Ce 0.001 1.987 3.235
Ce 3.304 0.986 1.618
Ce -0.003 3.991 6.509
Ce -1.095 5.650 3.230
Ce 4.396 -0.672 4.896
Dy 0.000 0.000 0.000
```

uncorrected formation energy: -3.41 eV/atom

---

5.
The following is a DFT calculation (PBEsol) of Ce5Dy2O13 after structural relaxation.

Geometry as extended XYZ:
```
20
Lattice="-0.707 -0.998 -3.577 2.298 -2.420 -1.776 -11.699 -17.977 5.331" Properties=species:S:1:pos:R:3 pbc="T T T"
Dy -8.823 -17.756 0.706
Dy 1.562 -3.458 -5.336
O -2.507 -5.321 -0.017
O -1.115 -5.274 -2.303
O -3.732 -8.876 -0.781
O -4.953 -12.428 -1.546
O -7.583 -16.048 -0.016
O -6.364 -12.501 0.751
O -2.329 -8.815 -3.072
O -8.987 -16.111 2.277
O -5.143 -8.950 1.516
O -10.557 -16.404 4.666
O 0.279 -1.485 -1.638
O -7.767 -12.563 3.043
O 0.280 -5.223 -4.590
Ce -2.451 -7.113 -1.526
Ce -3.673 -10.665 -2.291
Ce -7.706 -14.349 1.532
Ce -1.235 -3.569 -0.757
Ce -6.485 -10.798 2.297
```

uncorrected formation energy: -3.48 eV/atom

---

6.
The following is a DFT calculation (PBEsol) of CeDyS3 after structural relaxation.

Geometry as extended XYZ:
```
20
Lattice="-3.529 1.493 -0.848 -3.061 -4.512 4.793 1.747 10.237 10.753" Properties=species:S:1:pos:R:3 pbc="T T T"
Dy -4.819 -1.746 3.357
Dy -2.274 2.488 9.305
Dy -2.568 4.731 5.394
Dy -0.024 8.965 11.342
Ce -2.314 0.528 6.018
Ce -2.529 6.691 8.681
Ce -0.943 1.849 2.640
Ce -3.899 5.369 12.059
S -4.870 -0.477 5.803
S -1.925 6.001 14.037
S -2.917 1.218 0.661
S -2.251 -0.826 3.371
S -0.220 4.363 4.055
S -3.800 2.754 7.041
S -1.610 4.811 10.631
S -4.623 2.856 10.643
S -1.042 4.465 7.657
S -3.232 2.408 4.067
S -2.592 8.045 11.327
S 0.027 7.696 8.895
```

uncorrected formation energy: -2.09 eV/atom

---

7.
The following is a DFT calculation (PBEsol) of CeDyZn2 after structural relaxation.

Geometry as extended XYZ:
```
4
Lattice="4.989 0.000 0.000 2.494 4.320 0.000 2.494 1.440 4.073" Properties=species:S:1:pos:R:3 pbc="T T T"
Dy 0.000 0.000 0.000
Zn 7.483 4.320 3.055
Zn 2.494 1.440 1.018
Ce 4.989 2.880 2.037
```

formation enthalpy at 0 K: -0.85 eV per formula unit

---

8.
The following is a DFT calculation (PBEsol) of Ce3Er after structural relaxation.

Geometry as extended XYZ:
```
4
Lattice="4.665 0.000 0.000 0.000 4.665 0.000 -2.332 -2.332 4.713" Properties=species:S:1:pos:R:3 pbc="T T T"
Ce 2.332 0.000 2.357
Ce 0.000 2.332 2.357
Ce 2.332 2.332 0.000
Er 0.000 0.000 0.000
```

polymorph energy (0 for the lowest one): 0.000 eV per atom
formation enthalpy at 0 K: 0.48 eV per formula unit

---

9.
The following is a DFT calculation (PBEsol) of CeEr after structural relaxation.

Geometry as extended XYZ:
```
2
Lattice="3.348 0.000 0.000 -1.674 2.900 0.000 0.000 0.000 5.655" Properties=species:S:1:pos:R:3 pbc="T T T"
Ce 0.000 1.933 2.827
Er 1.674 0.967 0.000
```

formation enthalpy at 0 K: 0.28 eV per formula unit

---

10.
The following is a DFT calculation (PBEsol) of Ce3Er after structural relaxation.

Geometry as extended XYZ:
```
4
Lattice="-4.578 0.843 -0.601 -0.690 -4.517 -1.073 -0.771 -0.958 4.529" Properties=species:S:1:pos:R:3 pbc="T T T"
Ce -0.730 -2.738 1.728
Ce -2.674 -0.058 1.964
Ce -2.634 -1.837 -0.837
Er 0.000 0.000 0.000
```

polymorph energy (0 for the lowest one): 0.011 eV per atom
formation enthalpy at 0 K: 0.52 eV per formula unit

---

11.
The following is a DFT calculation (PBEsol) of CeErIn2 after structural relaxation.

Geometry as extended XYZ:
```
4
Lattice="-4.410 0.590 -2.821 0.224 0.030 -5.263 -1.936 -4.060 -2.742" Properties=species:S:1:pos:R:3 pbc="T T T"
Ce -3.061 -1.720 -5.413
Er 0.000 0.000 0.000
In -1.530 -0.860 -2.706
In -4.591 -2.580 -8.119
```

formation enthalpy at 0 K: -1.58 eV per formula unit

---

12.
The following is a DFT calculation (PBEsol) of CeErMg2 after structural relaxation.

Geometry as extended XYZ:
```
4
Lattice="-3.686 2.222 -3.073 -2.786 -2.981 -3.364 -5.123 -0.938 0.917" Properties=species:S:1:pos:R:3 pbc="T T T"
Mg -2.899 -0.424 -1.380
Mg -8.696 -1.273 -4.140
Ce 0.000 0.000 0.000
Er -5.797 -0.849 -2.760
```

formation enthalpy at 0 K: 0.19 eV per formula unit

---

13.
The following is a DFT calculation (PBEsol) of CeEr4S7 after structural relaxation.

Geometry as extended XYZ:
```
12
Lattice="-0.648 -3.382 -1.458 2.619 -1.018 5.992 -11.202 1.267 2.037" Properties=species:S:1:pos:R:3 pbc="T T T"
Er -8.511 -1.741 3.025
Er -5.073 -3.041 4.513
Er -9.200 -3.133 6.559
Er -0.690 -1.388 3.527
S -8.597 0.766 2.043
S -6.140 -0.590 4.094
S -3.085 -2.596 2.597
S -9.074 -0.640 5.514
S -0.576 -3.895 4.495
S -0.150 -2.483 1.031
S -3.399 -2.049 6.262
Ce -4.198 -0.080 2.049
```

uncorrected formation energy: -2.06 eV/atom

---

14.
The following is a DFT calculation (PBEsol) of CeF3 after structural relaxation.

Geometry as extended XYZ:
```
8
Lattice="4.081 0.000 0.000 -2.041 3.534 0.000 0.000 0.000 7.209" Properties=species:S:1:pos:R:3 pbc="T T T"
F 2.041 1.178 0.574
F 0.000 2.356 6.635
F 0.000 0.000 5.406
F 0.000 0.000 1.802
F 2.041 1.178 3.030
F 0.000 2.356 4.178
Ce 2.041 1.178 5.406
Ce 0.000 2.356 1.802
```

uncorrected formation energy: -3.94 eV/atom

---

15.
The following is a DFT calculation (PBEsol) of CeF4 after structural relaxation.

Geometry as extended XYZ:
```
30
Lattice="8.262 -0.005 0.005 1.408 8.141 0.005 3.734 3.142 6.682" Properties=species:S:1:pos:R:3 pbc="T T T"
F 7.446 4.577 5.229
F 10.424 8.364 5.993
F 10.582 8.147 3.060
F 5.998 1.569 3.344
F 3.916 4.983 1.888
F 6.476 4.013 1.676
F 7.946 9.542 6.207
F 4.939 9.004 2.342
F 5.248 4.009 4.040
F 11.583 4.898 5.683
F 8.465 2.274 4.351
F 6.928 7.266 5.017
F 2.821 3.132 3.633
F 0.704 4.070 0.003
F 2.980 2.914 0.699
F 4.511 6.652 3.827
F 9.488 6.296 4.805
F 1.821 6.380 1.010
F 5.458 1.736 0.486
F 8.893 4.627 2.866
F 11.703 10.605 6.401
F 1.701 0.673 0.292
F 5.958 6.701 1.464
F 8.156 7.269 2.653
Ce 7.936 5.673 1.151
Ce 3.794 7.201 1.676
Ce 4.590 2.858 2.201
Ce 5.467 5.605 5.542
Ce 8.814 8.421 4.492
Ce 9.610 4.078 5.017
```

uncorrected formation energy: -3.71 eV/atom

---

16.
The following is a DFT calculation (PBEsol) of CeF3 after structural relaxation.

Geometry as extended XYZ:
```
24
Lattice="7.046 0.000 0.000 -3.523 6.102 0.000 0.000 0.000 7.222" Properties=species:S:1:pos:R:3 pbc="T T T"
F -0.887 2.254 6.639
F -2.015 4.207 3.028
F 2.636 3.848 4.194
F 0.000 0.000 5.417
F -1.128 5.744 6.639
F 1.128 5.744 3.028
F 2.396 0.359 4.194
F 0.000 4.068 1.305
F 2.015 4.207 6.639
F 0.000 4.068 4.916
F 0.887 2.254 3.028
F 3.523 2.034 5.917
F 4.410 3.848 0.583
F 1.508 1.895 0.583
F 4.651 0.359 0.583
F 3.523 2.034 2.306
F 0.000 0.000 1.806
F 5.538 1.895 4.194
Ce 2.316 4.012 1.806
Ce 1.207 2.091 5.417
Ce -1.207 2.091 1.806
Ce 4.632 0.000 5.417
Ce 2.414 0.000 1.806
Ce -2.316 4.012 5.417
```

uncorrected formation energy: -3.96 eV/atom

---

17.
The following is a DFT calculation (PBEsol) of K2CeF6 after structural relaxation.

Geometry as extended XYZ:
```
9
Lattice="3.687 0.000 0.000 0.000 6.498 0.000 0.000 -3.249 5.628" Properties=species:S:1:pos:R:3 pbc="T T T"
Ce 0.000 0.000 0.000
F 0.000 -1.107 1.918
F 1.844 -2.507 4.342
F 1.844 5.014 0.000
F 0.000 2.214 0.000
F 0.000 2.142 3.710
F 1.844 0.742 1.286
K 1.844 3.249 1.876
K 1.844 0.000 3.752
```

uncorrected formation energy: -3.39 eV/atom

---

18.
The following is a DFT calculation (PBEsol) of Rb2LiCeF6 after structural relaxation.

Geometry as extended XYZ:
```
10
Lattice="-5.700 1.754 -1.440 -3.636 -3.738 -3.233 -4.811 -2.688 2.697" Properties=species:S:1:pos:R:3 pbc="T T T"
F -6.417 -0.380 -1.204
F -7.730 -4.292 -0.772
F -8.717 -1.666 0.085
F -8.155 -2.168 -2.750
F -5.429 -3.007 -2.061
F -5.991 -2.505 0.774
Rb -10.610 -3.504 -1.482
Rb -3.537 -1.168 -0.494
Ce 0.000 0.000 0.000
Li -7.073 -2.336 -0.988
```

uncorrected formation energy: -3.23 eV/atom

---

19.
The following is a DFT calculation (PBEsol) of CeMoO4F after structural relaxation.

Geometry as extended XYZ:
```
28
Lattice="6.531 0.000 0.000 0.000 6.796 0.048 0.000 2.614 9.044" Properties=species:S:1:pos:R:3 pbc="T T T"
F 0.748 3.875 6.670
F 4.014 3.444 6.921
F 2.517 5.966 2.172
F 5.782 5.535 2.423
O 0.909 0.779 0.733
O 4.175 3.926 3.814
O 3.925 1.106 0.789
O 2.606 8.303 8.303
O 5.871 5.811 5.336
O 2.571 1.470 3.312
O 5.471 1.472 3.360
O 2.356 5.484 5.279
O 0.695 6.175 7.858
O 4.325 6.176 7.906
O 1.060 7.938 5.733
O 2.206 3.233 1.186
O 3.960 7.940 5.780
O 5.836 3.235 1.234
O 0.660 3.598 3.757
O 5.621 8.631 8.360
Ce 0.845 5.117 0.702
Ce 2.421 3.027 5.199
Ce 4.110 6.383 3.893
Ce 5.686 4.292 8.391
Mo 5.648 3.170 3.031
Mo 2.383 1.535 1.516
Mo 4.148 7.875 7.577
Mo 0.883 6.240 6.062
```

uncorrected formation energy: -2.76 eV/atom

---

Table of volume (Å³/cell), in record order: 103 106 194 392 272 426 88 103 55 103 103 105 263 104 449 311 135 163 401